[1]
Computed, not measured: a geometry-optimized YTaSi2 structure at the PBE level of DFT.

Results
electronic total energy = -7.686 eV per atom
SG = R-3m, No. 166
volume = 20.1 Å³/atom
density = 6.724 Mg/m³
excess energy over the best structure of this formula in the dataset = 140.5 meV per atom
density of states at the Fermi level = 1.23 states/eV/cell
raw formation energy = -395 meV per atom

abc: 6.6164 6.6164 6.6164
angles: 33.95 33.95 33.95
Fractional coordinates of all 4 atoms:
Y 0.0000 0.0000 0.0000
Ta 0.5000 0.5000 0.5000
Si 0.2388 0.2388 0.2388
Si 0.7612 0.7612 0.7612

---

[2]
Computed, not measured: a geometry-optimized Y2Ta3Si4 structure at the PBE level of DFT.

Results
electronic total energy = -8.564 eV per atom
SG = P2_1/c, No. 14
volume = 17.9 Å³/atom
density = 8.576 Mg/m³
density of states at the Fermi level = 8.25 states/eV/cell
raw formation energy = -766 meV per atom

abc: 7.0313 7.0395 6.8862
angles: 90.00 108.84 90.00
Fractional coordinates of all 18 atoms:
Y 0.1873 0.1695 0.0642
Y 0.1873 0.3305 0.5642
Y 0.8127 0.6695 0.4358
Y 0.8127 0.8305 0.9358
Ta 0.2560 0.6761 0.2476
Ta 0.2560 0.8239 0.7476
Ta 0.5000 0.0000 0.5000
Ta 0.5000 0.5000 0.0000
Ta 0.7440 0.1761 0.2524
Ta 0.7440 0.3239 0.7524
Si 0.0837 0.5363 0.8671
Si 0.0837 0.9637 0.3671
Si 0.4930 0.1258 0.8713
Si 0.4930 0.3742 0.3713
Si 0.5070 0.6258 0.6287
Si 0.5070 0.8742 0.1287
Si 0.9163 0.0363 0.6329
Si 0.9163 0.4637 0.1329

---

[3]
Computed, not measured: a geometry-optimized TaZn4Si structure at the PBE level of DFT.

Results
electronic total energy = -3.402 eV per atom
SG = F-43m, No. 216
volume = 15.3 Å³/atom
density = 8.496 Mg/m³
density of states at the Fermi level = 5.25 states/eV/cell
raw formation energy = 326 meV per atom

abc: 5.0671 5.0671 5.0671
angles: 60.00 60.00 60.00
Fractional coordinates of all 6 atoms:
Ta 0.0000 0.0000 0.0000
Zn 0.1231 0.6256 0.6256
Zn 0.6256 0.1231 0.6256
Zn 0.6256 0.6256 0.1231
Zn 0.6256 0.6256 0.6256
Si 0.2500 0.2500 0.2500

---

[4]
Computed, not measured: a geometry-optimized Ta2ZnSi structure at the PBE level of DFT.

Results
electronic total energy = -7.608 eV per atom
SG = Cmm2, No. 35
volume = 16.5 Å³/atom
density = 11.489 Mg/m³
density of states at the Fermi level = 2.05 states/eV/cell
raw formation energy = -7 meV per atom

abc: 2.9099 2.9099 8.0439
angles: 90.00 90.00 104.89
Fractional coordinates of all 4 atoms:
Ta 0.0000 0.0000 0.0000
Ta 0.5000 0.5000 0.2799
Zn 0.0000 0.0000 0.5387
Si 0.5000 0.5000 0.7653